[1]
Computed, not measured: crystalline SiAsOs at its relaxed geometry at the PBE level of DFT.

a = 4.126 Å, b = 4.126 Å, c = 4.126 Å
α = 60.00°, β = 60.00°, γ = 60.00°
Fractional positions:
Si 0.000 0.000 0.000
As 0.750 0.750 0.750
Os 0.250 0.250 0.250

Summary:
- Uncorrected energy: -6.54 eV/atom

[2]
Computed, not measured: crystalline Si2As2Os3 at its relaxed geometry at the PBE level of DFT.

a = 7.458 Å, b = 7.458 Å, c = 7.458 Å
α = 32.38°, β = 32.38°, γ = 32.38°
Fractional positions:
Si 0.000 0.000 0.000
Si 0.491 0.491 0.491
As 0.236 0.236 0.236
As 0.752 0.752 0.752
Os 0.370 0.370 0.370
Os 0.621 0.621 0.621
Os 0.873 0.873 0.873

Summary:
- Uncorrected energy: -7.60 eV/atom

[3]
Computed, not measured: crystalline SmAsOs at its relaxed geometry at the PBE level of DFT.

a = 4.537 Å, b = 4.537 Å, c = 4.537 Å
α = 60.00°, β = 60.00°, γ = 60.00°
Fractional positions:
Sm 0.000 0.000 0.000
As 0.500 0.500 0.500
Os 0.750 0.750 0.750

Summary:
- Uncorrected energy: -6.91 eV/atom

[4]
Computed, not measured: crystalline SmAsOs at its relaxed geometry at the PBE level of DFT.

a = 4.685 Å, b = 4.685 Å, c = 4.685 Å
α = 60.00°, β = 60.00°, γ = 60.00°
Fractional positions:
Sm 0.000 0.000 0.000
As 0.750 0.750 0.750
Os 0.250 0.250 0.250

Summary:
- Uncorrected energy: -6.14 eV/atom

[5]
Computed, not measured: crystalline SnAsOs at its relaxed geometry at the PBE level of DFT.

a = 4.406 Å, b = 4.406 Å, c = 4.406 Å
α = 60.00°, β = 60.00°, γ = 60.00°
Fractional positions:
Sn 0.000 0.000 0.000
As 0.500 0.500 0.500
Os 0.750 0.750 0.750

Summary:
- Uncorrected energy: -6.36 eV/atom

[6]
Computed, not measured: crystalline TaAs4Os at its relaxed geometry at the PBE level of DFT.

a = 4.873 Å, b = 4.873 Å, c = 7.660 Å
α = 117.86°, β = 117.86°, γ = 42.65°
Fractional positions:
Ta 0.000 0.000 0.000
As 0.290 0.290 0.726
As 0.557 0.557 0.302
As 0.748 0.748 0.088
As 0.989 0.989 0.646
Os 0.305 0.305 0.403

Summary:
- Uncorrected energy: -7.08 eV/atom